AcMgTeO6 | PBE | relaxed

ΔE_f (raw), eV/atom: -2.03
Electronic total energy, eV/atom: -6.314
Density of states at the Fermi level, states/eV per cell: 7.87

Unit cell a=5.311 b=5.377 c=5.377 alpha=120.00 beta=90.00 gamma=90.00
Each line ends with the local moment (μB).
Sites, in units of the cell vectors:
Mg 0.500 0.667 0.333  0.00
O 0.708 0.311 0.027  0.15
Ac 0.000 0.333 0.667  0.01
O 0.292 0.311 0.284  0.15
O 0.708 0.716 0.689  0.15
O 0.292 0.716 0.027  0.15
Te 0.500 0.000 0.000  -0.02
O 0.292 0.973 0.689  0.15
O 0.708 0.973 0.284  0.15

---

SIO2F | PBE | relaxed

ΔE_f (raw), eV/atom: 0.00
Electronic total energy, eV/atom: -3.493
Density of states at the Fermi level, states/eV per cell: 3.73

Unit cell a=3.561 b=3.561 c=7.318 alpha=90.00 beta=90.00 gamma=90.00
Sites, in units of the cell vectors:
S 0.000 0.000 0.000
I 0.500 0.500 0.500
F 0.000 0.000 0.500
O 0.000 0.500 0.000
O 0.500 0.000 0.000

---

SrCaPb | PBE | relaxed

Calculated formation energy, eV/atom: -0.575
Electronic total energy, eV/atom: -3.038
Density of states at the Fermi level, states/eV per cell: 0.95

Unit cell a=5.170 b=8.564 c=14.832 alpha=89.94 beta=90.00 gamma=90.00
Sites, in units of the cell vectors:
Ca 0.750 0.152 0.543
Sr 0.750 0.012 0.295
Pb 0.250 0.727 0.248
Ca 0.250 0.357 0.211
Pb 0.750 0.273 0.752
Sr 0.750 0.525 0.378
Sr 0.250 0.354 0.914
Pb 0.750 0.232 0.090
Pb 0.250 0.768 0.910
Ca 0.250 0.848 0.457
Pb 0.250 0.236 0.422
Sr 0.250 0.988 0.705
Ca 0.750 0.014 0.909
Ca 0.750 0.643 0.789
Ca 0.250 0.986 0.091
Pb 0.750 0.764 0.578
Sr 0.250 0.475 0.622
Sr 0.750 0.646 0.086

---

Dy4ZnCu2Ni | PBE | relaxed

Calculated formation energy, eV/atom: -0.316
Electronic total energy, eV/atom: -4.523
Density of states at the Fermi level, states/eV per cell: 4.63

Unit cell a=4.906 b=4.906 c=8.492 alpha=73.21 beta=73.21 gamma=60.00
Sites, in units of the cell vectors:
Cu 0.254 0.254 0.237
Dy 0.129 0.129 0.614
Cu 0.746 0.746 0.763
Dy 0.621 0.621 0.138
Dy 0.871 0.871 0.386
Zn 0.000 0.000 0.000
Ni 0.500 0.500 0.500
Dy 0.379 0.379 0.862

---

Ac4GaRh | PBE | relaxed

Calculated formation energy, eV/atom: -0.362
Electronic total energy, eV/atom: -4.830
Density of states at the Fermi level, states/eV per cell: 12.54

Unit cell a=7.832 b=7.448 c=9.257 alpha=108.58 beta=110.09 gamma=101.40
Sites, in units of the cell vectors:
Ac 0.051 0.707 0.921
Ac 0.790 0.029 0.576
Ac 0.949 0.293 0.079
Ga 0.377 0.627 0.253
Rh 0.078 0.828 0.656
Ac 0.286 0.547 0.576
Rh 0.922 0.172 0.344
Ac 0.210 0.971 0.424
Ac 0.714 0.453 0.424
Ac 0.630 0.786 0.079
Ac 0.370 0.214 0.921
Ga 0.623 0.373 0.747

---

DyMgZr2Ir4 | PBE | relaxed

Calculated formation energy, eV/atom: -0.731
Electronic total energy, eV/atom: -8.073
Density of states at the Fermi level, states/eV per cell: 5.92

Unit cell a=4.656 b=4.656 c=8.125 alpha=73.35 beta=73.35 gamma=60.00
Sites, in units of the cell vectors:
Ir 0.875 0.875 0.376
Ir 0.377 0.377 0.868
Zr 0.755 0.755 0.735
Ir 0.125 0.125 0.624
Dy 0.000 0.000 0.000
Mg 0.500 0.500 0.500
Ir 0.623 0.623 0.132
Zr 0.245 0.245 0.265

---

PmTm3Sc6 | PBE | relaxed

Energy relative to the lowest polymorph listed for this composition, eV per atom: 0.240
Calculated formation energy, eV/atom: 0.396
Electronic total energy, eV/atom: -5.220
Density of states at the Fermi level, states/eV per cell: 21.33

Unit cell a=9.224 b=9.224 c=6.520 alpha=44.98 beta=44.98 gamma=60.00
Sites, in units of the cell vectors:
Tm 0.399 0.399 0.802
Pm 0.899 0.899 0.302
Tm 0.150 0.150 0.549
Sc 0.401 0.731 0.798
Sc 0.069 0.401 0.798
Tm 0.647 0.647 0.058
Sc 0.731 0.069 0.798
Sc 0.235 0.901 0.298
Sc 0.565 0.235 0.298
Sc 0.901 0.565 0.298

---

Sr2TlH12Rh3 | PBE | relaxed

Electronic total energy, eV/atom: -3.993
Density of states at the Fermi level, states/eV per cell: 4.04

Unit cell a=6.648 b=6.648 c=6.648 alpha=56.72 beta=56.72 gamma=56.72
Sites, in units of the cell vectors:
H 0.535 0.131 0.131
Tl 0.000 0.000 0.000
H 0.869 0.869 0.465
Rh 0.500 0.000 0.000
H 0.705 0.141 0.705
H 0.465 0.869 0.869
H 0.131 0.535 0.131
H 0.131 0.131 0.535
Rh 0.000 0.000 0.500
H 0.295 0.295 0.859
Sr 0.391 0.391 0.391
H 0.859 0.295 0.295
H 0.141 0.705 0.705
H 0.705 0.705 0.141
Sr 0.609 0.609 0.609
H 0.295 0.859 0.295
H 0.869 0.465 0.869
Rh 0.000 0.500 0.000

---

InSe | PBE | relaxed

ΔE_f (raw), eV/atom: 0.12
Electronic total energy, eV/atom: -2.987
Density of states at the Fermi level, states/eV per cell: 0.79

Unit cell a=3.229 b=3.229 c=5.449 alpha=90.00 beta=90.00 gamma=120.00
Sites, in units of the cell vectors:
In 0.000 0.000 0.000
Se 0.667 0.333 0.500

---

LaPmPr2Tl4 | PBE | relaxed

Calculated formation energy, eV/atom: -0.395
Electronic total energy, eV/atom: -3.983
Density of states at the Fermi level, states/eV per cell: 7.30

Unit cell a=5.562 b=5.562 c=9.642 alpha=73.24 beta=73.24 gamma=60.00
Sites, in units of the cell vectors:
Tl 0.624 0.624 0.128
La 0.000 0.000 0.000
Pr 0.250 0.250 0.251
Pm 0.500 0.500 0.500
Pr 0.750 0.750 0.749
Tl 0.126 0.126 0.622
Tl 0.376 0.376 0.872
Tl 0.874 0.874 0.378

---

Dy2Ga5Co2Ir | PBE | relaxed

Calculated formation energy, eV/atom: -0.397
Electronic total energy, eV/atom: -5.138
Density of states at the Fermi level, states/eV per cell: 14.54

Unit cell a=3.985 b=9.096 c=9.096 alpha=90.00 beta=90.00 gamma=90.00
Sites, in units of the cell vectors:
Ga 0.500 0.297 0.557
Ga 0.500 0.943 0.203
Co 0.000 0.388 0.112
Dy 0.000 0.683 0.183
Ga 0.500 0.557 0.703
Dy 0.000 0.317 0.817
Ga 0.500 0.203 0.057
Ga 0.500 0.500 0.000
Dy 0.000 0.183 0.317
Co 0.000 0.888 0.388
Ga 0.500 0.000 0.500
Dy 0.000 0.817 0.683
Ga 0.500 0.703 0.443
Ir 0.000 0.000 0.000
Ga 0.500 0.057 0.797
Ga 0.500 0.443 0.297
Co 0.000 0.612 0.888
Ga 0.500 0.797 0.943
Co 0.000 0.112 0.612
Ir 0.000 0.500 0.500

---

LiNp3Pd12 | PBE | relaxed

Calculated formation energy, eV/atom: -0.398
Electronic total energy, eV/atom: -6.839
Density of states at the Fermi level, states/eV per cell: 37.91

Unit cell a=4.125 b=4.125 c=16.155 alpha=90.00 beta=90.00 gamma=90.00
Each line ends with the local moment (μB).
Sites, in units of the cell vectors:
Pd 0.500 0.500 0.245  -0.07
Pd 0.500 0.000 0.882  -0.09
Pd 0.000 0.500 0.369  -0.03
Pd 0.500 0.000 0.369  -0.03
Pd 0.500 0.000 0.118  -0.09
Li 0.000 0.000 0.000  0.01
Pd 0.500 0.500 0.500  0.03
Pd 0.500 0.500 0.755  -0.07
Pd 0.000 0.500 0.118  -0.09
Pd 0.500 0.500 0.000  -0.06
Np 0.000 0.000 0.237  3.25
Pd 0.000 0.500 0.631  -0.03
Pd 0.000 0.500 0.882  -0.09
Np 0.000 0.000 0.500  -3.47
Np 0.000 0.000 0.763  3.25
Pd 0.500 0.000 0.631  -0.03

---

CaCoSi | PBE | relaxed

ΔE_f (raw), eV/atom: -0.38
Electronic total energy, eV/atom: -5.226
Density of states at the Fermi level, states/eV per cell: 7.12

Unit cell a=5.929 b=3.771 c=10.875 alpha=90.00 beta=113.41 gamma=90.00
Sites, in units of the cell vectors:
Co 0.088 0.500 0.169
Si 0.727 0.000 0.472
Co 0.518 0.000 0.852
Ca 0.713 0.000 0.181
Si 0.286 0.500 0.772
Co 0.518 0.500 0.352
Ca 0.713 0.500 0.681
Ca 0.115 0.500 0.462
Co 0.088 0.000 0.669
Ca 0.115 0.000 0.962
Si 0.286 0.000 0.272
Si 0.727 0.500 0.972

---

Ca4In | PBE | relaxed

Energy relative to the lowest polymorph listed for this composition, eV per atom: 0.140
Calculated formation energy, eV/atom: 0.007
Electronic total energy, eV/atom: -2.142
Density of states at the Fermi level, states/eV per cell: 5.24

Unit cell a=6.050 b=6.050 c=6.050 alpha=90.00 beta=90.00 gamma=90.00
Sites, in units of the cell vectors:
Ca 0.500 0.500 0.000
Ca 0.000 0.500 0.500
In 0.500 0.500 0.500
Ca 0.000 0.000 0.000
Ca 0.500 0.000 0.500

---

CuIr2Cl | PBE | relaxed

Energy relative to the lowest polymorph listed for this composition, eV per atom: 0.752
ΔE_f (raw), eV/atom: 1.03
Electronic total energy, eV/atom: -4.882
Density of states at the Fermi level, states/eV per cell: 5.13

Unit cell a=4.519 b=4.519 c=4.519 alpha=126.43 beta=126.43 gamma=79.19
Sites, in units of the cell vectors:
Cl 0.250 0.750 0.500
Cu 0.750 0.250 0.500
Ir 0.500 0.500 0.000
Ir 0.000 0.000 0.000

---

CaYB2Cl | PBE | relaxed

ΔE_f (raw), eV/atom: 1.08
Electronic total energy, eV/atom: -3.649
Density of states at the Fermi level, states/eV per cell: 2.04

Unit cell a=4.706 b=4.679 c=4.706 alpha=90.00 beta=90.00 gamma=90.00
Sites, in units of the cell vectors:
Ca 0.000 0.500 0.000
Y 0.500 0.500 0.500
B 0.000 0.000 0.500
Cl 0.000 0.000 0.000
B 0.500 0.000 0.000

---

NdTh2NpP4 | PBE | relaxed

Calculated formation energy, eV/atom: -1.374
Electronic total energy, eV/atom: -8.148
Density of states at the Fermi level, states/eV per cell: 13.54

Unit cell a=5.815 b=5.815 c=7.121 alpha=114.10 beta=114.10 gamma=90.00
Each line ends with the local moment (μB).
Sites, in units of the cell vectors:
Th 0.000 0.000 0.000  0.03
P 0.751 0.751 0.502  -0.05
Nd 0.500 0.500 0.000  0.02
Th 0.250 0.750 0.500  0.05
P 0.996 0.496 0.992  -0.03
Np 0.750 0.250 0.500  3.75
P 0.504 0.004 0.008  -0.03
P 0.249 0.249 0.498  -0.05

---

Li2CaAgAu5 | PBE | relaxed

Calculated formation energy, eV/atom: -0.322
Electronic total energy, eV/atom: -3.107
Density of states at the Fermi level, states/eV per cell: 1.84

Unit cell a=4.594 b=4.594 c=7.943 alpha=90.00 beta=90.00 gamma=90.00
Sites, in units of the cell vectors:
Au 0.000 0.500 0.248
Au 0.500 0.000 0.752
Au 0.500 0.000 0.248
Au 0.000 0.500 0.752
Au 0.500 0.500 0.500
Ca 0.000 0.000 0.500
Ag 0.000 0.000 0.000
Li 0.500 0.500 0.857
Li 0.500 0.500 0.143

---

Rb3PmSb2O9 | PBE | relaxed

ΔE_f (raw), eV/atom: -1.64
Electronic total energy, eV/atom: -5.675
Density of states at the Fermi level, states/eV per cell: 9.49

Unit cell a=6.019 b=6.019 c=7.435 alpha=90.00 beta=90.00 gamma=120.00
Each line ends with the local moment (μB).
Sites, in units of the cell vectors:
Sb 0.667 0.333 0.843  -0.02
O 0.356 0.178 0.690  0.21
O 0.500 0.000 0.000  0.16
Rb 0.667 0.333 0.335  0.00
O 0.178 0.822 0.310  0.21
O 0.822 0.178 0.690  0.21
Rb 0.000 0.000 0.000  0.00
O 0.644 0.822 0.310  0.21
Rb 0.333 0.667 0.665  0.00
Sb 0.333 0.667 0.157  -0.02
O 0.822 0.644 0.690  0.21
O 0.000 0.500 0.000  0.16
O 0.178 0.356 0.310  0.21
Pm 0.000 0.000 0.500  -0.03
O 0.500 0.500 0.000  0.16

---

Hf2BeZnC | PBE | relaxed

Energy relative to the lowest polymorph listed for this composition, eV per atom: 0.060
Calculated formation energy, eV/atom: -0.343
Electronic total energy, eV/atom: -7.169
Density of states at the Fermi level, states/eV per cell: 1.04

Unit cell a=4.573 b=4.573 c=3.454 alpha=90.00 beta=90.00 gamma=90.00
Sites, in units of the cell vectors:
C 0.000 0.000 0.000
Hf 0.500 0.000 0.000
Hf 0.000 0.500 0.000
Zn 0.500 0.500 0.500
Be 0.000 0.000 0.500

---

ZrIn3 | PBE | relaxed

Calculated formation energy, eV/atom: -0.216
Electronic total energy, eV/atom: -4.407
Density of states at the Fermi level, states/eV per cell: 3.30

Unit cell a=4.350 b=4.350 c=10.086 alpha=102.48 beta=102.48 gamma=89.93
Sites, in units of the cell vectors:
In 0.376 0.376 0.752
In 0.500 0.000 0.000
In 0.250 0.750 0.500
Zr 0.881 0.881 0.762
In 0.000 0.500 0.000
In 0.624 0.624 0.248
Zr 0.119 0.119 0.238
In 0.750 0.250 0.500

---

Na2HfNbCd | PBE | relaxed

Calculated formation energy, eV/atom: 1.356
Electronic total energy, eV/atom: -3.360
Density of states at the Fermi level, states/eV per cell: 6.64

Unit cell a=4.985 b=5.651 c=4.985 alpha=90.00 beta=90.00 gamma=90.00
Each line ends with the local moment (μB).
Sites, in units of the cell vectors:
Nb 0.500 0.500 0.500  2.18
Na 0.500 0.000 0.000  -0.01
Hf 0.000 0.500 0.000  0.03
Cd 0.000 0.000 0.000  -0.04
Na 0.000 0.000 0.500  -0.01

---

La2SbTe | PBE | relaxed

Energy relative to the lowest polymorph listed for this composition, eV per atom: 0.169
ΔE_f (raw), eV/atom: -1.31
Electronic total energy, eV/atom: -5.587
Density of states at the Fermi level, states/eV per cell: 2.84

Unit cell a=6.507 b=6.507 c=5.037 alpha=89.99 beta=89.99 gamma=37.92
Sites, in units of the cell vectors:
Sb 0.489 0.489 0.625
Te 0.260 0.260 0.125
La 0.753 0.753 0.625
La 0.998 0.998 0.125